A plane-wave DFT calculation with GGA-PBEsol was carried out for a geometry-optimized La2InGaPb structure.

Values from the calculation:
- Final energy: -3.94 eV/atom
- Size of the total moment: 0.00 μB per cell

Cell lengths 6.052, 6.052, 5.031 Å; angles 90.00, 90.00, 90.00 degrees
Space group P4/mmm (No. 123)
Inequivalent atoms, fractional coordinates:
La 0.000 0.500 0.000
In 0.000 0.000 0.500
Ga 0.500 0.500 0.500
Pb 0.500 0.500 0.000